This record from Alexandria via LeMat-Bulk describes a relaxed structure of TbPr2Mg. The functional is GGA-PBE.

Lattice parameters (Å, degrees): 3.596 3.596 11.792 98.71 98.71 60.09
Sites, in units of the cell vectors:
Tb  0.000  0.000  0.000
Pr  0.417  0.417  0.253
Pr  0.581  0.581  0.744
Mg  0.833  0.833  0.499

Values from the calculation:
As for the space group: Cm. Its energy of formation is 0.039 eV per atom. For the energy relative to the lowest polymorph listed for this composition, the calculation gives 7.0 kJ per mole of atoms.